SCAN LaTl2P, single point on PBEsol structure; ΔE to the lowest computed polymorph = 0 meV per atom; total magnetization = 0.0 μB per cell; raw total energy = -50.177 eV/atom
1.0
4.363 0.000 0.000
0.000 3.996 0.000
-2.176 0.000 6.094
La Tl P
1 2 1
direct
0.000 0.000 0.000 La
0.299 0.500 0.603 Tl
0.717 0.000 0.437 Tl
0.528 0.500 0.055 P


SCAN Li2AlAg, single point on PBEsol structure; total magnetization = 0.0 μB per cell; raw total energy = -11.165 eV/atom
1.0
2.738 0.000 0.000
0.000 4.400 0.000
-0.818 0.000 5.141
Li Al Ag
2 1 1
direct
0.000 0.000 0.000 Li
0.199 0.500 0.769 Li
0.459 0.000 0.494 Al
0.777 0.500 0.271 Ag


SCAN SiIrOs2, single point on PBEsol structure; total magnetization = 0.0 μB per cell; raw total energy = -56.249 eV/atom
1.0
2.753 0.000 0.000
0.000 3.939 0.000
-1.184 0.000 5.037
Si Ir Os
1 1 2
direct
0.000 0.000 0.000 Si
0.000 0.000 0.500 Ir
0.370 0.500 0.236 Os
0.630 0.500 0.764 Os